(1)
Density functional theory data (PBE-GGA) for Pm5Sm2Bi4 after structural relaxation.

a = 3.5454 Å, b = 8.3946 Å, c = 15.1683 Å
α = 122.11°, β = 96.71°, γ = 90.00°
Element x y z (fractional)
Bi  0.0494  0.7842  0.0987
Bi  0.9506  0.2158  0.9013
Bi  0.4007  0.5458  0.8013
Bi  0.5993  0.4542  0.1987
Pm  0.5000  0.0000  0.0000
Pm  0.1393  0.2215  0.2786
Pm  0.8607  0.7785  0.7214
Pm  0.8291  0.1517  0.6582
Pm  0.1709  0.8483  0.3418
Sm  0.2669  0.3553  0.5338
Sm  0.7331  0.6447  0.4662

Calculated values
Space group: C2/m, No. 12

***

(2)
Density functional theory data (PBE-GGA) for Pm3SmBi4 after structural relaxation.

a = 4.5754 Å, b = 7.9209 Å, c = 7.9209 Å
α = 109.46°, β = 90.00°, γ = 90.00°
Element x y z (fractional)
Pm  0.5000  0.5000  0.5000
Pm  0.0000  0.0000  0.5000
Pm  0.0000  0.5000  0.0000
Bi  0.5000  0.7505  0.2495
Bi  0.0000  0.2492  0.2492
Bi  0.0000  0.7508  0.7508
Bi  0.5000  0.2495  0.7505
Sm  0.5000  0.0000  0.0000

Calculated values
Space group: Cmmm, No. 65
Distance to the lowest polymorph of the same formula, meV/atom: 6

***

The evaluated M_tot for the records listed, in turn: 0.00, 0.00 μB per cell.
The evaluated calculated volume for the records listed, in turn: 34.43, 33.83 Å³/atom.
The evaluated E for the records listed, in turn: -4.65, -5.25 eV per atom.